A plane-wave DFT calculation with SCAN was carried out for a PBEsol-optimized structure of TeRh3F.

Density   9.7 Mg/m³
Magnetic moment   2.88 μB/f.u.
Formation energy without anion corrections   0.490 eV/atom
Total DFT energy (no corrections)   -27.93 eV/atom

Unit cell a=4.267 b=4.267 c=4.267 alpha=90.00 beta=90.00 gamma=90.00
Last column: magnetic moment on the atom in μB.
Atoms (fractional coordinates):
F 0.000 0.000 0.000  0.13
Te 0.500 0.500 0.500  0.02
Rh 0.500 0.000 0.000  0.94
Rh 0.000 0.000 0.500  0.94
Rh 0.000 0.500 0.000  0.94